1.
DFT (PBE) results for an optimized crystal structure of Tb9Pr2Y3.

```
Tb9Pr2Y3
1.0
8.912 -5.134 0.000
8.912 5.134 0.000
-1.663 0.000 5.195
Tb Pr Y
9 2 3
Cartesian
0.000 0.000 0.000
2.291 1.556 3.593
5.202 2.348 4.543
2.291 -1.556 3.593
10.957 2.348 0.651
5.202 -2.348 4.543
13.869 1.556 1.602
10.957 -2.348 0.651
13.869 -1.556 1.602
8.080 2.464 2.597
8.080 -2.464 2.597
5.213 0.000 1.676
8.912 0.000 0.000
10.947 0.000 3.519
```

E_tot in eV/atom: -4.74
Size of the total moment in μB per formula unit: 0.00
Theoretical density in Mg/m³: 6.9


2.
DFT (PBE) results for an optimized crystal structure of TbPr4Y3.

```
TbPr4Y3
1.0
11.725 0.000 0.000
0.000 7.388 0.000
0.000 0.000 6.374
Tb Pr Y
2 8 6
Cartesian
0.000 0.905 0.000
5.862 6.482 3.187
0.000 2.755 3.199
0.000 4.639 0.008
2.929 2.756 5.318
2.933 4.632 2.130
5.862 2.748 3.195
5.862 4.633 0.012
8.795 2.756 5.318
8.792 4.632 2.130
0.000 6.494 3.188
2.932 0.897 2.128
2.931 6.491 5.316
5.862 0.894 0.001
8.793 0.897 2.128
8.794 6.491 5.316
```

E above lowest polymorph in meV per atom: 0.0
E_tot in eV/atom: -5.37
Size of the total moment in μB per formula unit: 0.00
Theoretical density in Mg/m³: 6.0